Record 1
A plane-wave DFT calculation with PBE-GGA was carried out for a relaxed structure of TmPd2Au.

Properties
DOS(E_F): 1.219 states/eV/f.u.
Space group: No. 225
VASP energy: -5.3153 eV per atom
E_form: -0.782 eV/atom
Magnetic moment: 0.00 μB per atom

```
TmPd2Au
1.0
0.0000 3.3143 3.3143
3.3143 0.0000 3.3143
3.3143 3.3143 0.0000
Tm Pd Au
1 2 1
Cartesian
0.0000 0.0000 0.0000
1.6571 1.6571 1.6571
4.9714 4.9714 4.9714
3.3143 3.3143 3.3143
```

---

Record 2
A plane-wave DFT calculation with PBE-GGA was carried out for a relaxed structure of TmPdAu2.

Properties
DOS(E_F): 0.916 states/eV/f.u.
Space group: No. 225
VASP energy: -4.7667 eV per atom
E_form: -0.712 eV/atom
Magnetic moment: 0.00 μB per atom

```
TmPdAu2
1.0
0.0000 3.3761 3.3761
3.3761 0.0000 3.3761
3.3761 3.3761 0.0000
Tm Pd Au
1 1 2
Cartesian
0.0000 0.0000 0.0000
3.3761 3.3761 3.3761
1.6880 1.6880 1.6880
5.0641 5.0641 5.0641
```

---

Record 3
A plane-wave DFT calculation with PBE-GGA was carried out for a relaxed structure of YTmPdAu.

Properties
DOS(E_F): 1.912 states/eV/f.u.
Space group: No. 38
VASP energy: -5.7700 eV per atom
E_form: -0.919 eV/atom
Magnetic moment: 0.00 μB per atom
Energy relative to the lowest polymorph listed for this composition: 0 meV per atom

```
YTmPdAu
1.0
4.6557 0.0000 0.0000
0.0000 1.8586 5.2995
0.0000 -1.8586 5.2995
Y Tm Pd Au
1 1 1 1
Cartesian
0.0000 0.0000 0.0000
2.3279 0.0000 7.6666
0.0000 0.0000 2.8900
2.3279 0.0000 4.7196
```

---

Record 4
A plane-wave DFT calculation with PBE-GGA was carried out for a relaxed structure of YTmPdAu.

Properties
DOS(E_F): 3.209 states/eV/f.u.
Space group: No. 216
VASP energy: -5.7311 eV per atom
E_form: -0.880 eV/atom
Magnetic moment: 0.00 μB per atom
Energy relative to the lowest polymorph listed for this composition: 39 meV per atom

```
YTmPdAu
1.0
0.0000 3.5364 3.5364
3.5364 0.0000 3.5364
3.5364 3.5364 0.0000
Y Tm Pd Au
1 1 1 1
Cartesian
0.0000 0.0000 0.0000
3.5364 3.5364 3.5364
1.7682 1.7682 1.7682
5.3045 5.3045 5.3045
```

---

Record 5
A plane-wave DFT calculation with PBE-GGA was carried out for a relaxed structure of TmZrPdAu.

Properties
DOS(E_F): 2.544 states/eV/f.u.
Space group: No. 216
VASP energy: -6.0444 eV per atom
E_form: -0.672 eV/atom
Magnetic moment: 0.00 μB per atom

```
TmZrPdAu
1.0
0.0000 3.4510 3.4510
3.4510 0.0000 3.4510
3.4510 3.4510 0.0000
Tm Zr Pd Au
1 1 1 1
Cartesian
0.0000 0.0000 0.0000
3.4510 3.4510 3.4510
5.1765 5.1765 5.1765
1.7255 1.7255 1.7255
```

---

Record 6
A plane-wave DFT calculation with PBE-GGA was carried out for a relaxed structure of UPd2Au2.

Properties
DOS(E_F): 8.179 states/eV/f.u.
Space group: No. 36
VASP energy: -5.9064 eV per atom
E_form: -0.261 eV/atom
Magnetic moment: 0.49 μB per atom
Energy relative to the lowest polymorph listed for this composition: 0 meV per atom

```
UPd2Au2
1.0
2.2187 -7.3888 0.0000
2.2187 7.3888 0.0000
0.0000 0.0000 5.7775
U Pd Au
2 4 4
Cartesian
2.2187 5.7793 2.8888
2.2187 -5.7793 0.0000
2.2187 5.9103 5.7535
2.2187 2.8198 1.4148
2.2187 -2.8198 4.3036
2.2187 -5.9103 2.8647
2.2187 2.9019 4.1637
2.2187 0.0012 1.4790
2.2187 -0.0012 4.3678
2.2187 -2.9019 1.2749
```